(1)
Below is an optimized crystal structure of CaDy2Cu3, with properties calculated at the PBE-GGA level.

Computed properties:
final energy = -24.68 eV per cell
E_form = -0.198 eV per atom
calculated density = 7172 kg/m3

Structure (CIF):
```
data_CaDy2Cu3
_space_group_name_H-M_alt 'P 4/m m m'
_space_group_IT_number 123
_space_group_name_Hall '-P 4 2'
_cell_length_a 3.484
_cell_length_b 3.484
_cell_length_c 10.599
_cell_angle_alpha 90.00
_cell_angle_beta 90.00
_cell_angle_gamma 90.00
loop_
_atom_site_label
_atom_site_fract_x
_atom_site_fract_y
_atom_site_fract_z
_atom_site_occupancy
Ca1 0.000 0.000 0.000 1
Dy1 0.000 0.000 0.335 1
Cu1 0.500 0.500 0.187 1
Cu2 0.500 0.500 0.500 1
```



(2)
Below is an optimized crystal structure of TaGa2I, with properties calculated at the PBE-GGA level.

Computed properties:
final energy = -62.26 eV per cell
offset from the most stable computed form = 0.067 eV/atom
calculated density = 5568 kg/m3

Structure (CIF):
```
data_TaGa2I
_space_group_name_H-M_alt 'I -4 2 d'
_space_group_IT_number 122
_space_group_name_Hall 'I -4 2bw'
_cell_length_a 6.358
_cell_length_b 6.358
_cell_length_c 13.199
_cell_angle_alpha 90.00
_cell_angle_beta 90.00
_cell_angle_gamma 90.00
loop_
_atom_site_label
_atom_site_fract_x
_atom_site_fract_y
_atom_site_fract_z
_atom_site_occupancy
Ta1 0.000 0.000 0.000 1
Ga1 0.193 0.250 0.125 1
I1 0.000 0.000 0.500 1
```



(3)
Below is an optimized crystal structure of Hf5RuRh4, with properties calculated at the PBE-GGA level.

Computed properties:
final energy = -97.05 eV per cell
E_form = -0.860 eV per atom
calculated density = 13431 kg/m3

Structure (CIF):
```
data_Hf5RuRh4
_space_group_name_H-M_alt 'P 4/m m m'
_space_group_IT_number 123
_space_group_name_Hall '-P 4 2'
_cell_length_a 3.261
_cell_length_b 3.261
_cell_length_c 16.337
_cell_angle_alpha 90.00
_cell_angle_beta 90.00
_cell_angle_gamma 90.00
loop_
_atom_site_label
_atom_site_fract_x
_atom_site_fract_y
_atom_site_fract_z
_atom_site_occupancy
Hf1 0.000 0.000 0.000 1
Hf2 0.000 0.000 0.200 1
Hf3 0.000 0.000 0.401 1
Ru1 0.500 0.500 0.500 1
Rh1 0.500 0.500 0.101 1
Rh2 0.500 0.500 0.301 1
```



(4)
Below is an optimized crystal structure of AcH6Rh3, with properties calculated at the PBE-GGA level.

Computed properties:
final energy = -49.20 eV per cell
calculated density = 8478 kg/m3

Structure (CIF):
```
data_AcH6Rh3
_space_group_name_H-M_alt 'P 1'
_space_group_IT_number 1
_space_group_name_Hall 'P 1'
_cell_length_a 4.781
_cell_length_b 4.859
_cell_length_c 5.472
_cell_angle_alpha 88.58
_cell_angle_beta 64.48
_cell_angle_gamma 69.35
loop_
_atom_site_label
_atom_site_fract_x
_atom_site_fract_y
_atom_site_fract_z
_atom_site_occupancy
Ac1 0.000 0.000 0.000 1
H1 0.187 0.496 0.674 1
H2 0.364 0.067 0.377 1
H3 0.572 0.365 0.824 1
H4 0.605 0.715 0.009 1
H5 0.831 0.537 0.306 1
H6 0.961 0.867 0.498 1
Rh1 0.424 0.694 0.364 1
Rh2 0.527 0.166 0.590 1
Rh3 0.810 0.576 0.655 1
```



(5)
Below is an optimized crystal structure of CaDyTl, with properties calculated at the PBE-GGA level.

Computed properties:
final energy = -19.14 eV per cell
offset from the most stable computed form = 0.121 eV/atom
E_form = -0.200 eV per atom
calculated density = 7241 kg/m3

Structure (CIF):
```
data_CaDyTl
_space_group_name_H-M_alt 'I 4 m m'
_space_group_IT_number 107
_space_group_name_Hall 'I 4 -2'
_cell_length_a 3.609
_cell_length_b 3.609
_cell_length_c 14.331
_cell_angle_alpha 90.00
_cell_angle_beta 90.00
_cell_angle_gamma 90.00
loop_
_atom_site_label
_atom_site_fract_x
_atom_site_fract_y
_atom_site_fract_z
_atom_site_occupancy
Ca1 0.000 0.000 0.000 1
Dy1 0.000 0.000 0.298 1
Tl1 0.000 0.000 0.654 1
```



(6)
Below is an optimized crystal structure of Sr3Ge4, with properties calculated at the PBE-GGA level.

Computed properties:
final energy = -54.68 eV per cell
E_form = -0.547 eV per atom
calculated density = 4701 kg/m3

Structure (CIF):
```
data_Sr3Ge4
_space_group_name_H-M_alt 'I m m m'
_space_group_IT_number 71
_space_group_name_Hall '-I 2 2'
_cell_length_a 4.234
_cell_length_b 4.793
_cell_length_c 19.265
_cell_angle_alpha 90.00
_cell_angle_beta 90.00
_cell_angle_gamma 90.00
loop_
_atom_site_label
_atom_site_fract_x
_atom_site_fract_y
_atom_site_fract_z
_atom_site_occupancy
Sr1 0.000 0.000 0.000 1
Sr2 0.000 0.500 0.318 1
Ge1 0.000 0.000 0.432 1
Ge2 0.000 0.500 0.146 1
```



(7)
Below is an optimized crystal structure of LiPr2Ho, with properties calculated at the PBE-GGA level.

Computed properties:
final energy = -46.27 eV per cell
offset from the most stable computed form = 0.094 eV/atom
E_form = 0.157 eV per atom
calculated density = 5572 kg/m3

Structure (CIF):
```
data_LiPr2Ho
_space_group_name_H-M_alt 'R -3 m'
_space_group_IT_number 166
_space_group_name_Hall '-R 3 2"'
_cell_length_a 3.5395
_cell_length_b 3.5395
_cell_length_c 37.3871
_cell_angle_alpha 90.00
_cell_angle_beta 90.00
_cell_angle_gamma 120.00
loop_
_atom_site_label
_atom_site_fract_x
_atom_site_fract_y
_atom_site_fract_z
_atom_site_occupancy
Li1 0.0000 0.0000 0.0000 1
Pr1 0.0000 0.0000 0.0892 1
Ho1 0.0000 0.0000 0.5000 1
```



(8)
Below is an optimized crystal structure of Y3Tm2Zn2, with properties calculated at the PBE-GGA level.

Computed properties:
final energy = -64.11 eV per cell
offset from the most stable computed form = 0.000 eV/atom
E_form = -0.167 eV per atom
calculated density = 6423 kg/m3

Structure (CIF):
```
data_Y3Tm2Zn2
_space_group_name_H-M_alt 'C 1 2/m 1'
_space_group_IT_number 12
_space_group_name_Hall '-C 2y'
_cell_length_a 12.923
_cell_length_b 3.650
_cell_length_c 8.946
_cell_angle_alpha 90.00
_cell_angle_beta 115.69
_cell_angle_gamma 90.00
loop_
_atom_site_label
_atom_site_fract_x
_atom_site_fract_y
_atom_site_fract_z
_atom_site_occupancy
Y1 0.000 0.000 0.000 1
Y2 0.110 0.000 0.440 1
Tm1 0.149 0.500 0.813 1
Zn1 0.182 0.500 0.222 1
```



(9)
Below is an optimized crystal structure of Be2IrCl, with properties calculated at the PBE-GGA level.

Computed properties:
final energy = -38.11 eV per cell
offset from the most stable computed form = 0.178 eV/atom
calculated density = 7489 kg/m3

Structure (CIF):
```
data_Be2IrCl
_space_group_name_H-M_alt 'C 1 2/m 1'
_space_group_IT_number 12
_space_group_name_Hall '-C 2y'
_cell_length_a 5.141
_cell_length_b 2.954
_cell_length_c 7.386
_cell_angle_alpha 90.00
_cell_angle_beta 103.75
_cell_angle_gamma 90.00
loop_
_atom_site_label
_atom_site_fract_x
_atom_site_fract_y
_atom_site_fract_z
_atom_site_occupancy
Be1 0.092 0.000 0.275 1
Ir1 0.000 0.500 0.500 1
Cl1 0.000 0.000 0.000 1
```



(10)
Below is an optimized crystal structure of ZrZnH8Ir2, with properties calculated at the PBE-GGA level.

Computed properties:
final energy = -109.83 eV per cell
calculated density = 9628 kg/m3

Structure (CIF):
```
data_ZrZnH8Ir2
_space_group_name_H-M_alt 'C 1 2/m 1'
_space_group_IT_number 12
_space_group_name_Hall '-C 2y'
_cell_length_a 8.435
_cell_length_b 4.137
_cell_length_c 5.815
_cell_angle_alpha 90.00
_cell_angle_beta 111.03
_cell_angle_gamma 90.00
loop_
_atom_site_label
_atom_site_fract_x
_atom_site_fract_y
_atom_site_fract_z
_atom_site_occupancy
Zr1 0.000 0.000 0.000 1
Zn1 0.000 0.500 0.500 1
H1 0.096 0.500 0.144 1
H2 0.149 0.258 0.830 1
H3 0.213 0.000 0.355 1
Ir1 0.198 0.000 0.646 1
```



(11)
Below is an optimized crystal structure of Ca2CdRe, with properties calculated at the PBE-GGA level.

Computed properties:
final energy = -30.19 eV per cell
E_form = 0.568 eV per atom
calculated density = 6651 kg/m3

Structure (CIF):
```
data_Ca2CdRe
_space_group_name_H-M_alt 'I 4/m m m'
_space_group_IT_number 139
_space_group_name_Hall '-I 4 2'
_cell_length_a 4.746
_cell_length_b 4.746
_cell_length_c 8.395
_cell_angle_alpha 90.00
_cell_angle_beta 90.00
_cell_angle_gamma 90.00
loop_
_atom_site_label
_atom_site_fract_x
_atom_site_fract_y
_atom_site_fract_z
_atom_site_occupancy
Ca1 0.000 0.500 0.250 1
Cd1 0.000 0.000 0.000 1
Re1 0.000 0.000 0.500 1
```



(12)
Below is an optimized crystal structure of MgSn2Ru, with properties calculated at the PBE-GGA level.

Computed properties:
final energy = -73.08 eV per cell
E_form = 0.152 eV per atom
calculated density = 5990 kg/m3

Structure (CIF):
```
data_MgSn2Ru
_space_group_name_H-M_alt 'I -4 2 d'
_space_group_IT_number 122
_space_group_name_Hall 'I -4 2bw'
_cell_length_a 8.778
_cell_length_b 8.778
_cell_length_c 5.221
_cell_angle_alpha 90.00
_cell_angle_beta 90.00
_cell_angle_gamma 90.00
loop_
_atom_site_label
_atom_site_fract_x
_atom_site_fract_y
_atom_site_fract_z
_atom_site_occupancy
Mg1 0.000 0.000 0.000 1
Sn1 0.142 0.250 0.625 1
Ru1 0.000 0.000 0.500 1
```